[1]
This record from Alexandria describes a geometry-optimized TaCd2AsIr structure. The functional is GGA-PBE.

ΔH_f (0 K), kJ/mol of formula units: 508

Cell and atoms, written as POSCAR:
```
TaCd2AsIr
1.0
5.1896 0.0000 0.0000
0.0000 5.1896 0.0000
0.0000 0.0000 4.5438
Ta Cd As Ir
1 2 1 1
Direct
0.0000 0.0000 0.0000 Ta
0.0000 0.5000 0.5000 Cd
0.5000 0.0000 0.5000 Cd
0.5000 0.5000 0.0000 As
0.5000 0.5000 0.5000 Ir
```

---

[2]
This record from Alexandria describes a geometry-optimized Tb2AlZn structure. The functional is GGA-PBE.

ΔH_f (0 K), kJ/mol of formula units: -146

Cell and atoms, written as POSCAR:
```
Tb2AlZn
1.0
3.5813 0.0000 0.0000
0.0000 3.5813 0.0000
0.0000 0.0000 7.2956
Tb Al Zn
2 1 1
Direct
0.0000 0.0000 0.2454 Tb
0.0000 0.0000 0.7546 Tb
0.5000 0.5000 0.5000 Al
0.5000 0.5000 0.0000 Zn
```

---

[3]
This record from Alexandria describes a geometry-optimized Er6CuTe5 structure. The functional is GGA-PBE.

Uncorrected formation energy, kJ/mol of formula units: -1285

Cell and atoms, written as POSCAR:
```
Er6CuTe5
1.0
3.7407 -6.4414 0.0000
3.7407 6.4414 0.0000
-2.4688 0.0000 7.0181
Er Cu Te
6 1 5
Direct
0.0736 0.3713 0.7242 Er
0.2173 0.2173 0.2650 Er
0.3713 0.0736 0.7242 Er
0.6287 0.9264 0.2758 Er
0.7827 0.7827 0.7350 Er
0.9264 0.6287 0.2758 Er
0.0000 0.0000 0.5000 Cu
0.1813 0.8187 0.0000 Te
0.3363 0.6637 0.5000 Te
0.5000 0.5000 0.0000 Te
0.6637 0.3363 0.5000 Te
0.8187 0.1813 0.0000 Te
```

---

[4]
This record from Alexandria describes a geometry-optimized Zr2TeIr structure. The functional is GGA-PBE.

Uncorrected formation energy, kJ/mol of formula units: -206

Cell and atoms, written as POSCAR:
```
Zr2TeIr
1.0
3.4153 0.0000 0.0000
0.0000 3.4153 0.0000
0.0000 0.0000 7.0717
Zr Te Ir
2 1 1
Direct
0.0000 0.0000 0.2251 Zr
0.0000 0.0000 0.7749 Zr
0.5000 0.5000 0.5000 Te
0.5000 0.5000 0.0000 Ir
```

---

[5]
This record from Alexandria describes a geometry-optimized LaCu2Ir structure. The functional is GGA-PBE.

Relative energy among the computed polymorphs, eV per atom: 0.205
ΔH_f (0 K), kJ/mol of formula units: -27

Cell and atoms, written as POSCAR:
```
LaCu2Ir
1.0
0.0000 3.2881 3.2881
3.2881 0.0000 3.2881
3.2881 3.2881 0.0000
La Cu Ir
1 2 1
Direct
0.0000 0.0000 0.0000 La
0.2500 0.2500 0.2500 Cu
0.7500 0.7500 0.7500 Cu
0.5000 0.5000 0.5000 Ir
```

---

[6]
This record from Alexandria describes a geometry-optimized Na2LiPb2O6 structure. The functional is GGA-PBE.

Uncorrected formation energy, kJ/mol of formula units: -1190

Cell and atoms, written as POSCAR:
```
Na2LiPb2O6
1.0
2.7894 -5.0885 0.0000
2.7894 5.0885 0.0000
-1.6349 0.0000 5.6191
Na Li Pb O
2 1 2 6
Direct
0.1536 0.8464 0.0000 Na
0.8464 0.1536 0.0000 Na
0.0000 0.0000 0.5000 Li
0.3389 0.6611 0.5000 Pb
0.6611 0.3389 0.5000 Pb
0.0504 0.4195 0.7183 O
0.2589 0.2589 0.3112 O
0.4195 0.0504 0.7183 O
0.5805 0.9496 0.2817 O
0.7411 0.7411 0.6888 O
0.9496 0.5805 0.2817 O
```

---

[7]
This record from Alexandria describes a geometry-optimized KYSi2 structure. The functional is GGA-PBE.

Uncorrected formation energy, kJ/mol of formula units: 22
Relative energy among the computed polymorphs, eV per atom: 0.308

Cell and atoms, written as POSCAR:
```
KYSi2
1.0
2.3052 -2.5617 0.0000
2.3052 2.5617 0.0000
0.0000 0.0000 9.1127
K Y Si
1 1 2
Direct
0.0000 0.0000 0.0000 K
0.5000 0.5000 0.5871 Y
0.0000 0.0000 0.3823 Si
0.5000 0.5000 0.2750 Si
```

---

[8]
This record from Alexandria describes a geometry-optimized TlCuRe2 structure. The functional is GGA-PBE.

Relative energy among the computed polymorphs, eV per atom: 0.285
ΔH_f (0 K), kJ/mol of formula units: 286

Cell and atoms, written as POSCAR:
```
TlCuRe2
1.0
4.6878 -1.5399 0.0000
4.6878 1.5399 0.0000
-0.9227 0.0000 4.5666
Tl Cu Re
1 1 2
Direct
0.0000 0.0000 0.0000 Tl
0.5000 0.5000 0.5000 Cu
0.2447 0.2447 0.7108 Re
0.7553 0.7553 0.2892 Re
```

---

[9]
This record from Alexandria describes a geometry-optimized ZnBO2 structure. The functional is GGA-PBE.

Uncorrected formation energy, kJ/mol of formula units: -454
Relative energy among the computed polymorphs, eV per atom: 0.213

Cell and atoms, written as POSCAR:
```
ZnBO2
1.0
1.5621 0.9019 5.8942
-1.5621 0.9019 5.8942
0.0000 -1.8037 5.8942
Zn B O
1 1 2
Direct
0.0000 0.0000 0.0000 Zn
0.5000 0.5000 0.5000 B
0.4283 0.4283 0.4283 O
0.5717 0.5717 0.5717 O
```

---

[10]
This record from Alexandria describes a geometry-optimized NaLi2ZrP structure. The functional is GGA-PBE.

ΔH_f (0 K), kJ/mol of formula units: 704

Cell and atoms, written as POSCAR:
```
NaLi2ZrP
1.0
5.1597 0.0000 0.0000
0.0000 5.1597 0.0000
0.0000 0.0000 5.6551
Na Li Zr P
1 2 1 1
Direct
0.0000 0.0000 0.0000 Na
0.0000 0.5000 0.5000 Li
0.5000 0.0000 0.5000 Li
0.0000 0.0000 0.5000 Zr
0.5000 0.5000 0.0000 P
```

---

[11]
This record from Alexandria describes a geometry-optimized Li3Mg2TaO6 structure. The functional is GGA-PBE.

Uncorrected formation energy, kJ/mol of formula units: -2958

Cell and atoms, written as POSCAR:
```
Li3Mg2TaO6
1.0
2.6237 -4.5379 0.0000
2.6237 4.5379 0.0000
-1.7614 0.0000 4.9017
Li Mg Ta O
3 2 1 6
Direct
0.0000 0.0000 0.0000 Li
0.3284 0.6716 0.0000 Li
0.6716 0.3284 0.0000 Li
0.1665 0.8335 0.5000 Mg
0.8335 0.1665 0.5000 Mg
0.5000 0.5000 0.5000 Ta
0.1041 0.4237 0.2701 O
0.2568 0.2568 0.7261 O
0.4237 0.1041 0.2701 O
0.5763 0.8959 0.7299 O
0.7432 0.7432 0.2739 O
0.8959 0.5763 0.7299 O
```

---

[12]
This record from Alexandria describes a geometry-optimized TaTlAs2 structure. The functional is GGA-PBE.

Relative energy among the computed polymorphs, eV per atom: 0.219
ΔH_f (0 K), kJ/mol of formula units: 30

Cell and atoms, written as POSCAR:
```
TaTlAs2
1.0
3.3746 0.0000 0.0000
0.0000 3.3746 0.0000
0.0000 0.0000 9.0957
Ta Tl As
1 1 2
Direct
0.0000 0.0000 0.0000 Ta
0.5000 0.5000 0.4763 Tl
0.0000 0.0000 0.7312 As
0.5000 0.5000 0.1170 As
```